[1]
5
Lattice="4.475 0.000 0.000 0.000 4.475 0.000 0.000 0.000 4.475" Properties=species:S:1:pos:R:3 comment="PBE AlMoPd3, optimized geometry" de_polymorph_ev_per_atom=0.000 formation_enthalpy_0k_ev_per_atom=0.73 pbc="T T T"
Pd 0.000 0.000 2.237
Pd 2.237 0.000 0.000
Al 0.000 0.000 0.000
Mo 2.237 2.237 2.237
Pd 0.000 2.237 0.000


[2]
5
Lattice="4.626 0.000 0.000 0.000 4.626 0.000 0.000 0.000 4.626" Properties=species:S:1:pos:R:3 comment="PBE Al3MoPd, optimized geometry" de_polymorph_ev_per_atom=0.000 formation_enthalpy_0k_ev_per_atom=0.55 pbc="T T T"
Pd 0.000 0.000 0.000
Al 0.000 2.313 0.000
Al 0.000 0.000 2.313
Mo 2.313 2.313 2.313
Al 2.313 0.000 0.000


[3]
5
Lattice="-1.397 -2.651 -3.745 -2.242 -2.979 2.944 -3.991 2.634 -0.375" Properties=species:S:1:pos:R:3 comment="PBE Ta2AlMoPd, optimized geometry" formation_enthalpy_0k_ev_per_atom=1.46 pbc="T T T"
Ta -1.996 1.317 -0.188
Al -3.815 -1.498 -0.588
Ta -0.698 -1.325 -1.873
Pd 0.000 0.000 0.000
Mo -1.121 -1.489 1.472


[4]
4
Lattice="4.418 0.000 0.000 2.209 3.826 0.000 2.209 1.275 3.607" Properties=species:S:1:pos:R:3 comment="PBE TiAlMoPd, optimized geometry" formation_enthalpy_0k_ev_per_atom=-0.36 pbc="T T T"
Mo 0.000 0.000 0.000
Al 6.626 3.826 2.705
Pd 4.418 2.551 1.803
Ti 2.209 1.275 0.902


Which formula does entry 4 have?
TiAlMoPd